1.
BaTc2Ag, optimized geometry, DFT PBE-GGA; polymorph energy (0 for the lowest one) = 0.7398 eV/atom; energy relative to the elements = 1.1679 eV per atom
1.0
2.857 0.000 0.000
0.000 2.857 0.000
0.000 0.000 9.851
Ba Tc Ag
1 2 1
Direct
0.000 0.000 0.000
0.500 0.500 0.288
0.500 0.500 0.712
0.000 0.000 0.500

***

2.
Tb8Hg3CS3, optimized geometry, DFT PBE-GGA; formation energy (no corrections) = -992 meV per atom
1.0
3.849 2.222 7.588
-3.849 2.222 7.588
0.000 -4.445 7.588
Tb Hg C S
8 3 1 3
Direct
0.237 0.237 0.237
0.263 0.717 0.717
0.283 0.283 0.737
0.283 0.737 0.283
0.717 0.263 0.717
0.717 0.717 0.263
0.737 0.283 0.283
0.763 0.763 0.763
0.000 0.500 0.500
0.500 0.000 0.500
0.500 0.500 0.000
0.500 0.500 0.500
0.000 0.000 0.500
0.000 0.500 0.000
0.500 0.000 0.000

***

Result set for size of the total moment: 0.00, 0.00 μB/f.u., one per record in the order listed.
Result set for DOS(E_F): 5.40, 9.90 states/eV per cell, one per record in the order listed.